No. 1
Material: HoTm2Ir
Method: DFT, PBE-GGA
State: optimized geometry Values from VASP.

Summary:
As for the space group: Pnma (62). As for the density of states at the Fermi level: 14.2 states/eV per cell. Its formation energy is -0.62 eV per atom. As for the relative energy among the computed polymorphs: 0.00 eV per formula unit.

```
&SYSTEM
  ibrav = 0, nat = 16, ntyp = 3
/
ATOMIC_SPECIES
Tm 168.93 Tm.upf
Ho 164.93 Ho.upf
Ir 192.22 Ir.upf
CELL_PARAMETERS angstrom
6.346 0.000 0.000
0.000 7.185 0.000
0.000 0.000 9.075
ATOMIC_POSITIONS angstrom
Tm 4.275 5.914 8.513
Tm 1.101 4.864 0.562
Tm 5.245 2.322 5.100
Tm 2.072 1.271 3.975
Tm 1.101 4.864 3.975
Tm 5.245 2.322 8.513
Tm 4.275 5.914 5.100
Tm 2.072 1.271 0.562
Ho 0.803 6.949 6.806
Ho 5.544 0.237 2.269
Ho 3.976 3.829 2.269
Ho 2.370 3.356 6.806
Ir 0.277 2.762 2.269
Ir 3.451 0.830 6.806
Ir 2.896 6.355 2.269
Ir 6.069 4.423 6.806
```


No. 2
Material: Ho3Tm2Ir2
Method: DFT, PBE-GGA
State: optimized geometry Values from VASP.

Summary:
As for the space group: C2/m (12). As for the density of states at the Fermi level: 5.5 states/eV per cell. Its formation energy is -0.66 eV per atom.

```
&SYSTEM
  ibrav = 0, nat = 7, ntyp = 3
/
ATOMIC_SPECIES
Ir 192.22 Ir.upf
Ho 164.93 Ho.upf
Tm 168.93 Tm.upf
CELL_PARAMETERS angstrom
-0.892 -2.744 -2.532
-2.957 -1.290 5.351
-4.009 5.889 -4.971
ATOMIC_POSITIONS angstrom
Ir -5.712 1.434 -2.452
Ir -2.146 0.421 0.300
Ho -4.874 1.317 0.290
Ho -2.984 0.538 -2.442
Ho -0.446 -1.372 -1.266
Tm -4.384 3.877 -2.657
Tm -3.474 -2.022 0.505
```


No. 3
Material: HoTm4Ir2
Method: DFT, PBE-GGA
State: optimized geometry Values from VASP.

Summary:
As for the space group: P2_1/m (11). As for the density of states at the Fermi level: 13.8 states/eV per cell. Its formation energy is -0.59 eV per atom.

```
&SYSTEM
  ibrav = 0, nat = 14, ntyp = 3
/
ATOMIC_SPECIES
Tm 168.93 Tm.upf
Ho 164.93 Ho.upf
Ir 192.22 Ir.upf
CELL_PARAMETERS angstrom
6.220 0.000 0.000
0.000 7.256 -2.970
0.000 -0.050 7.765
ATOMIC_POSITIONS angstrom
Tm 1.555 1.799 1.854
Tm 1.555 7.113 1.882
Tm 3.124 2.986 4.686
Tm 0.014 4.220 0.109
Tm 6.206 2.986 4.686
Tm 4.665 5.407 2.941
Tm 3.096 4.220 0.109
Tm 4.665 0.093 2.912
Ho 1.555 6.056 5.059
Ho 4.665 1.150 -0.264
Ir 1.555 1.833 6.868
Ir 4.665 2.690 2.092
Ir 4.665 5.373 -2.073
Ir 1.555 4.516 2.703
```


Which formula does entry 2 have? Ho3Tm2Ir2